# 1
Here is crystalline Ac2Pm3S8 at its relaxed geometry from Alexandria. Energies are from GGA-PBE.

Computed properties:
Offset from the most stable computed form: 0.000 eV per atom
ρ: 4.78 g cm⁻³
E_form (uncorrected): -1.917 eV/atom
Crystal system: monoclinic
Symmetry: No. 12

abc: 6.982 8.427 8.349
angles: 120.31 107.50 90.00
Element x y z (fractional)
Pm (0.500, 0.000, 0.000)
Pm (0.000, 0.737, 0.000)
Pm (0.000, 0.263, 0.000)
S (0.590, 0.105, 0.759)
S (0.590, 0.654, 0.759)
S (0.410, 0.895, 0.241)
S (0.410, 0.346, 0.241)
S (0.074, 0.889, 0.779)
S (0.945, 0.622, 0.243)
S (0.055, 0.378, 0.757)
S (0.926, 0.111, 0.221)
Ac (0.653, 0.730, 0.459)
Ac (0.347, 0.270, 0.541)

***

# 2
Here is crystalline Ca2TaSb at its relaxed geometry from Alexandria. Energies are from GGA-PBE.

Computed properties:
ρ: 6.19 g cm⁻³
E_form (uncorrected): 0.106 eV/atom
Crystal system: orthorhombic
Symmetry: No. 65

abc: 3.213 3.213 9.953
angles: 90.00 90.00 89.86
Element x y z (fractional)
Ta (0.500, 0.500, 0.750)
Ca (0.000, 0.000, 0.997)
Ca (0.000, 0.000, 0.503)
Sb (0.500, 0.500, 0.250)

***

# 3
Here is crystalline TcAg2P at its relaxed geometry from Alexandria. Energies are from GGA-PBE.

Computed properties:
Formation enthalpy at 0 K: 0.429 eV per atom
ρ: 8.72 g cm⁻³
Crystal system: monoclinic
Symmetry: No. 10

abc: 4.850 2.831 4.829
angles: 81.71 90.00 90.00
Element x y z (fractional)
Ag (0.000, 0.794, 0.255)
Ag (0.000, 0.206, 0.745)
P (0.500, 0.500, 0.500)
Tc (0.500, 0.500, 0.000)

***

# 4
Here is crystalline PrHo6Sc at its relaxed geometry from Alexandria. Energies are from GGA-PBE.

Computed properties:
Formation enthalpy at 0 K: 0.388 eV per atom
Offset from the most stable computed form: 0.349 eV per atom
ρ: 7.15 g cm⁻³
Crystal system: monoclinic
Symmetry: No. 12

abc: 5.933 5.933 9.212
angles: 90.48 114.54 110.00
Element x y z (fractional)
Sc (0.000, 0.000, 0.000)
Ho (0.300, 0.637, 0.938)
Ho (0.849, 0.935, 0.295)
Ho (0.700, 0.363, 0.062)
Ho (0.361, 0.446, 0.295)
Ho (0.151, 0.065, 0.705)
Ho (0.639, 0.554, 0.705)
Pr (0.500, 0.000, 0.500)

***

# 5
Here is crystalline Ta2BeV2Ru5 at its relaxed geometry from Alexandria. Energies are from GGA-PBE.

Computed properties:
Formation enthalpy at 0 K: -0.086 eV per atom
ρ: 11.26 g cm⁻³
Crystal system: tetragonal
Symmetry: No. 127

abc: 3.012 9.789 9.789
angles: 90.00 90.00 90.00
Element x y z (fractional)
Ru (0.500, 0.947, 0.190)
Ru (0.500, 0.553, 0.690)
Ru (0.500, 0.500, 0.000)
Ru (0.500, 0.447, 0.310)
Ru (0.500, 0.810, 0.947)
Ru (0.500, 0.310, 0.553)
Ru (0.500, 0.690, 0.447)
Ru (0.500, 0.000, 0.500)
Ru (0.500, 0.190, 0.053)
Ru (0.500, 0.053, 0.810)
V (0.000, 0.361, 0.139)
V (0.000, 0.139, 0.639)
V (0.000, 0.639, 0.861)
V (0.000, 0.861, 0.361)
Ta (0.000, 0.826, 0.674)
Ta (0.000, 0.326, 0.826)
Ta (0.000, 0.674, 0.174)
Ta (0.000, 0.174, 0.326)
Be (0.000, 0.500, 0.500)
Be (0.000, 0.000, 0.000)